PBE NaGaSnSe3, relaxed; calculated density = 3.96 g/cm³; energy relative to the elements, uncorrected = -665 meV/atom
1.0
8.7745 0.0000 0.0000
0.0000 4.0965 0.0000
-1.2289 0.0000 10.4649
Na Ga Sn Se
2 2 2 6
Cartesian
1.0438 1.0241 1.4152
6.5019 3.0724 9.0497
-0.0689 1.0241 6.4237
7.6145 3.0724 4.0412
2.3374 3.0724 8.9061
5.2082 1.0241 1.5588
-0.1026 1.0241 8.7635
0.9884 3.0724 5.3303
3.1619 3.0724 1.1262
4.3837 1.0241 9.3387
6.5572 1.0241 5.1346
7.6482 3.0724 1.7014


PBE CaHfMg6O8, relaxed; calculated density = 4.63 g/cm³; energy relative to the elements, uncorrected = -2466 meV/atom; distance to the lowest polymorph of the same formula = 0.043 eV/atom
1.0
4.4529 0.0000 0.0000
0.0000 4.4529 0.0000
0.0000 0.0000 8.9110
Ca Hf Mg O
1 1 6 8
Cartesian
0.0000 0.0000 0.0000
0.0000 0.0000 4.4555
0.0000 2.2265 2.1937
0.0000 2.2265 6.7174
2.2265 0.0000 2.1937
2.2265 0.0000 6.7174
2.2265 2.2265 0.0000
2.2265 2.2265 4.4555
0.0000 0.0000 2.3045
0.0000 0.0000 6.6066
0.0000 2.2265 0.0000
0.0000 2.2265 4.4555
2.2265 0.0000 0.0000
2.2265 0.0000 4.4555
2.2265 2.2265 2.2014
2.2265 2.2265 6.7096


PBE Ba2LiCo2, relaxed; calculated density = 4.72 g/cm³; ΔH_f (0 K) = 0.434 eV/atom; distance to the lowest polymorph of the same formula = 0.018 eV/atom
1.0
-1.7647 1.7647 11.2727
1.7647 -1.7647 11.2727
1.7647 1.7647 -11.2727
Ba Li Co
2 1 2
Cartesian
0.0000 0.0000 2.9806
0.0000 0.0000 19.5648
0.0000 0.0000 11.2727
1.7647 0.0000 5.6364
0.0000 1.7647 5.6364


PBE Li2MgAg2Ge2, relaxed; calculated density = 5.58 g/cm³; ΔH_f (0 K) = -0.208 eV/atom
1.0
4.0764 -2.1498 0.0000
4.0764 2.1498 0.0000
-1.6683 0.0000 6.7744
Li Mg Ag Ge
2 1 2 2
Cartesian
0.4473 0.0000 2.8795
6.0371 0.0000 3.8949
0.0000 0.0000 0.0000
0.8333 0.0000 5.5612
5.6511 0.0000 1.2133
3.0667 0.0000 1.9659
3.4178 0.0000 4.8085


PBE Ho6AgRu5, relaxed; calculated density = 11.12 g/cm³; ΔH_f (0 K) = -0.383 eV/atom
1.0
2.4205 -7.2184 0.0000
2.4205 7.2184 0.0000
0.0000 0.0000 6.8467
Ho Ag Ru
6 1 5
Cartesian
0.0000 0.0000 1.6400
0.0000 0.0000 5.2067
2.4205 2.4688 1.6832
2.4205 2.4688 5.1635
2.4205 -2.4688 1.6832
2.4205 -2.4688 5.1635
2.4205 0.0000 3.4234
2.4205 4.8410 3.4234
2.4205 4.8233 0.0000
2.4205 0.0000 0.0000
2.4205 -4.8233 0.0000
2.4205 -4.8410 3.4234


PBE MgBF3, relaxed; calculated density = 2.52 g/cm³; energy relative to the elements, uncorrected = -1659 meV/atom; distance to the lowest polymorph of the same formula = 0.000 eV/atom
1.0
3.9324 0.0000 0.0000
0.0000 3.9324 0.0000
0.0000 0.0000 3.9324
Mg B F
1 1 3
Cartesian
0.0000 0.0000 0.0000
1.9662 1.9662 1.9662
0.0000 0.0000 1.9662
0.0000 1.9662 0.0000
1.9662 0.0000 0.0000